# MnAlI2O PBE+U optimized geometry
data_MnAlI2O
_cell_length_a 5.894
_cell_length_b 5.894
_cell_length_c 3.765
_cell_angle_alpha 90.00
_cell_angle_beta 90.00
_cell_angle_gamma 90.00
_space_group_name_H-M_alt 'P 1'
_space_group_IT_number 1
_space_group_name_Hall 'P 1'
loop_
_atom_site_label
_atom_site_fract_x
_atom_site_fract_y
_atom_site_fract_z
Mn1 0.000 0.000 0.000
Al1 0.500 0.500 0.500
I1 0.000 0.500 0.000
I2 0.500 0.000 0.000
O1 0.000 0.000 0.500
# E = -21.00 eV for the cell shown
# ΔE to the lowest computed polymorph = 325.7 meV per atom
# N(E_F) = 5.49 states/eV/cell